(1)
Material: DyLuMnZn
Method: DFT, PBE-GGA
State: optimized geometry

The space group is F-43m (No. 216) and the conventional cell measures 7.003, 7.003 and 7.003 Å, with angles of 90.00, 90.00 and 90.00 degrees. The distinct sites, in fractional coordinates, are Dy at (0.000, 0.000, 0.000), Lu at (0.000, 0.000, 0.500), Mn at (0.250, 0.250, 0.250) and Zn at (0.250, 0.250, 0.750).

As for the density: 8.9 g/cm3. For the energy of formation, the calculation gives -0.2 eV/f.u. The total magnetization is 2.77 μB per formula unit. The total energy is -4.946 eV per atom.


(2)
Material: Hg4PtBr
Method: DFT, PBE-GGA
State: optimized geometry

The space group is F-43m (No. 216) and the conventional cell measures 8.330, 8.330 and 8.330 Å, with angles of 90.00, 90.00 and 90.00 degrees. The distinct sites, in fractional coordinates, are Hg at (0.125, 0.125, 0.125), Pt at (0.250, 0.250, 0.750) and Br at (0.000, 0.000, 0.500).

As for the density: 12.4 g/cm3. The total magnetization is 0.00 μB per formula unit. The total energy is -1.021 eV per atom. The uncorrected formation energy comes out at 0.466 eV per atom.


(3)
Material: Tl2TeAs
Method: DFT, PBE-GGA
State: optimized geometry

The space group is C2/m (No. 12) and the conventional cell measures 14.167, 3.962 and 4.688 Å, with angles of 90.00, 109.18 and 90.00 degrees. The distinct sites, in fractional coordinates, are Tl at (0.182, 0.000, 0.183), Te at (0.000, 0.000, 0.500) and As at (0.000, 0.500, 0.000).

As for the density: 8.2 g/cm3. The total magnetization is 0.00 μB per formula unit. The total energy is -3.123 eV per atom. The uncorrected formation energy comes out at 0.008 eV per atom. The value obtained for the distance to the lowest polymorph of the same formula is 0.000 eV/atom.


- Look up the density of the second one.
  12.4 g/cm3